Model 1:
Entry from Alexandria via LeMat-Bulk: a crystal of Os4C3 relaxed with PBEsol (meta-GGA SCAN).

Results
DOS(E_F)   3.415 states/eV/cell
Density   18.143 Mg/m³
Size of the total moment   0.00 Bohr magnetons per cell

Unit cell a=2.733 b=2.733 c=9.953 alpha=97.89 beta=97.89 gamma=90.00
Element x y z (fractional)
Os (0.827, 0.827, 0.655)
Os (0.435, 0.435, 0.869)
Os (0.565, 0.565, 0.131)
C (0.283, 0.283, 0.566)
C (0.000, 0.000, 0.000)
C (0.717, 0.717, 0.434)
Os (0.173, 0.173, 0.345)

=====

Model 2:
Entry from Alexandria via LeMat-Bulk: a crystal of Os4C3 relaxed with PBEsol (meta-GGA SCAN).

Results
DOS(E_F)   5.924 states/eV/cell
Density   17.389 Mg/m³
Size of the total moment   1.65 Bohr magnetons per cell

Unit cell a=4.238 b=4.238 c=4.238 alpha=90.00 beta=90.00 gamma=90.00
Last column: magnetic moment on the atom in μB.
Element x y z (fractional)
Os (0.500, 0.500, 0.000)  0.16
C (0.500, 0.000, 0.000)  0.02
Os (0.500, 0.000, 0.500)  0.16
C (0.000, 0.500, 0.000)  0.02
Os (0.000, 0.000, 0.000)  1.02
C (0.000, 0.000, 0.500)  0.02
Os (0.000, 0.500, 0.500)  0.16

=====

Most stable structure, least stable structure: model 1, model 2.

=====

Model 1:
Entry from Alexandria via LeMat-Bulk: a crystal of PC2 relaxed with PBEsol (meta-GGA SCAN).

Results
DOS(E_F)   0.879 states/eV/cell
Density   3.635 Mg/m³
Size of the total moment   0.00 Bohr magnetons per cell

Unit cell a=2.801 b=2.801 c=7.398 alpha=90.00 beta=90.00 gamma=120.00
Element x y z (fractional)
C (0.000, 0.000, 0.593)
C (0.000, 0.000, 0.093)
P (0.667, 0.333, 0.750)
P (0.333, 0.667, 0.250)
C (0.000, 0.000, 0.407)
C (0.000, 0.000, 0.907)

=====

Model 2:
Entry from Alexandria via LeMat-Bulk: a crystal of PC2 relaxed with PBEsol (meta-GGA SCAN).

Results
DOS(E_F)   1.616 states/eV/cell
Density   3.486 Mg/m³
Size of the total moment   0.00 Bohr magnetons per cell

Unit cell a=3.860 b=4.849 c=4.849 alpha=120.00 beta=90.00 gamma=90.00
Element x y z (fractional)
C (0.290, 0.307, 0.307)
P (0.000, 0.000, 0.000)
C (0.290, 0.000, 0.693)
C (0.710, 0.000, 0.307)
P (0.500, 0.333, 0.667)
C (0.710, 0.307, 0.000)
C (0.710, 0.693, 0.693)
P (0.500, 0.667, 0.333)
C (0.290, 0.693, 0.000)

=====

Most stable structure, least stable structure: model 1, model 2.